{
  "formula": "HfZrHgB",
  "functional": "PBE-GGA",
  "state": "optimized geometry",
  "lattice_angstrom": [[3.410, 0.000, 0.000], [-1.705, 2.953, 0.000], [0.000, 0.000, 15.074]],
  "species": ["Hf", "Hf", "Zr", "Zr", "Hg", "Hg", "B", "B"],
  "frac_coords": [[0.000, 0.000, 0.161], [0.000, 0.000, 0.839], [0.667, 0.333, 0.335], [0.667, 0.333, 0.665], [0.000, 0.000, 0.500], [0.667, 0.333, 0.000], [0.333, 0.667, 0.247], [0.333, 0.667, 0.753]],
  "sg": "P-6m2",
  "final_energy_ev_per_cell": -53.791
}



{
  "formula": "InFePtW",
  "functional": "PBE-GGA",
  "state": "optimized geometry",
  "lattice_angstrom": [[0.000, 3.172, 3.172], [3.172, 0.000, 3.172], [3.172, 3.172, 0.000]],
  "species": ["In", "Fe", "Pt", "W"],
  "frac_coords": [[0.000, 0.000, 0.000], [0.250, 0.250, 0.250], [0.750, 0.750, 0.750], [0.500, 0.500, 0.500]],
  "sg": "F-43m",
  "polymorph_energy_mev_per_atom": 0
}



{
  "formula": "NdScPt",
  "functional": "PBE-GGA",
  "state": "optimized geometry",
  "lattice_angstrom": [[3.235, -3.225, 0.000], [3.235, 3.225, 0.000], [-0.386, 0.000, 6.998]],
  "species": ["Nd", "Nd", "Sc", "Sc", "Pt", "Pt"],
  "frac_coords": [[0.245, 0.245, 0.372], [0.755, 0.755, 0.628], [0.255, 0.745, 0.000], [0.745, 0.255, 0.000], [0.226, 0.226, 0.781], [0.774, 0.774, 0.219]],
  "sg": "C2/m",
  "polymorph_energy_mev_per_atom": 0
}



{
  "formula": "Gd2Ga2Pd3Pt",
  "functional": "PBE-GGA",
  "state": "optimized geometry",
  "lattice_angstrom": [[4.414, 0.000, 0.000], [-2.207, 3.822, 0.000], [0.000, 0.000, 9.138]],
  "species": ["Gd", "Gd", "Ga", "Ga", "Pd", "Pd", "Pd", "Pt"],
  "frac_coords": [[0.000, 0.000, 0.000], [0.333, 0.667, 0.504], [0.667, 0.333, 0.254], [0.667, 0.333, 0.758], [0.000, 0.000, 0.333], [0.000, 0.000, 0.668], [0.333, 0.667, 0.175], [0.333, 0.667, 0.833]],
  "sg": "P3m1",
  "final_energy_ev_per_cell": -44.433
}



{
  "formula": "Ac3Ta2N6",
  "functional": "PBE-GGA",
  "state": "optimized geometry",
  "lattice_angstrom": [[-2.060, 2.060, 10.460], [2.060, -2.060, 10.460], [2.060, 2.060, -10.460]],
  "species": ["Ac", "Ac", "Ac", "Ta", "Ta", "N", "N", "N", "N", "N", "N"],
  "frac_coords": [[0.000, 0.000, 0.000], [0.181, 0.181, 0.000], [0.819, 0.819, 0.000], [0.399, 0.399, 0.000], [0.601, 0.601, 0.000], [0.087, 0.587, 0.500], [0.305, 0.305, 0.000], [0.413, 0.913, 0.500], [0.587, 0.087, 0.500], [0.695, 0.695, 0.000], [0.913, 0.413, 0.500]],
  "sg": "I4/mmm",
  "final_energy_ev_per_cell": -100.735
}



{
  "formula": "BaAgNO",
  "functional": "PBE-GGA",
  "state": "optimized geometry",
  "lattice_angstrom": [[5.228, 0.000, 0.000], [0.000, 5.228, 0.000], [0.000, 0.000, 5.051]],
  "species": ["Ba", "Ba", "Ag", "Ag", "N", "N", "O", "O"],
  "frac_coords": [[0.250, 0.750, 0.000], [0.750, 0.250, 0.000], [0.250, 0.250, 0.493], [0.750, 0.750, 0.507], [0.250, 0.250, 0.026], [0.750, 0.750, 0.974], [0.250, 0.750, 0.500], [0.750, 0.250, 0.500]],
  "sg": "P4/nmm",
  "polymorph_energy_mev_per_atom": 381
}



{
  "formula": "Ta2Al3Mo4C3",
  "functional": "PBE-GGA",
  "state": "optimized geometry",
  "lattice_angstrom": [[4.593, -2.655, 0.000], [4.593, 2.655, 0.000], [-3.049, 0.000, 13.540]],
  "species": ["Ta", "Ta", "Ta", "Ta", "Al", "Al", "Al", "Al", "Al", "Al", "Mo", "Mo", "Mo", "Mo", "Mo", "Mo", "Mo", "Mo", "C", "C", "C", "C", "C", "C"],
  "frac_coords": [[0.031, 0.863, 0.595], [0.137, 0.969, 0.905], [0.863, 0.031, 0.095], [0.969, 0.137, 0.405], [0.082, 0.287, 0.749], [0.287, 0.082, 0.249], [0.451, 0.549, 0.750], [0.549, 0.451, 0.250], [0.713, 0.918, 0.751], [0.918, 0.713, 0.251], [0.196, 0.365, 0.087], [0.307, 0.468, 0.413], [0.365, 0.196, 0.587], [0.468, 0.307, 0.913], [0.532, 0.693, 0.087], [0.635, 0.804, 0.413], [0.693, 0.532, 0.587], [0.804, 0.635, 0.913], [0.000, 0.500, 0.500], [0.163, 0.675, 0.000], [0.325, 0.837, 0.500], [0.500, 0.000, 0.000], [0.675, 0.163, 0.500], [0.837, 0.325, 0.000]],
  "sg": "C2/c",
  "final_energy_ev_per_cell": -218.838
}



{
  "formula": "SrAl9Ni2",
  "functional": "PBE-GGA",
  "state": "optimized geometry",
  "lattice_angstrom": [[7.920, 0.000, 0.000], [-3.960, 6.859, 0.000], [0.000, 0.000, 3.924]],
  "species": ["Sr", "Al", "Al", "Al", "Al", "Al", "Al", "Al", "Al", "Al", "Ni", "Ni"],
  "frac_coords": [[0.000, 0.000, 0.000], [0.000, 0.500, 0.000], [0.212, 0.423, 0.500], [0.212, 0.788, 0.500], [0.423, 0.212, 0.500], [0.500, 0.000, 0.000], [0.500, 0.500, 0.000], [0.577, 0.788, 0.500], [0.788, 0.212, 0.500], [0.788, 0.577, 0.500], [0.333, 0.667, 0.000], [0.667, 0.333, 0.000]],
  "sg": "P6/mmm",
  "final_energy_ev_per_cell": -50.849
}



{
  "formula": "HoHg3S4Cl",
  "functional": "PBE-GGA",
  "state": "optimized geometry",
  "lattice_angstrom": [[7.937, 0.000, 0.000], [-3.968, 6.873, 0.000], [0.000, 0.000, 8.023]],
  "species": ["Ho", "Ho", "Hg", "Hg", "Hg", "Hg", "Hg", "Hg", "S", "S", "S", "S", "S", "S", "S", "S", "Cl", "Cl"],
  "frac_coords": [[0.000, 0.000, 0.000], [0.000, 0.000, 0.500], [0.014, 0.507, 0.177], [0.493, 0.507, 0.177], [0.493, 0.986, 0.177], [0.507, 0.014, 0.677], [0.507, 0.493, 0.677], [0.986, 0.493, 0.677], [0.141, 0.283, 0.745], [0.141, 0.859, 0.745], [0.283, 0.141, 0.245], [0.333, 0.667, 0.022], [0.667, 0.333, 0.522], [0.717, 0.859, 0.745], [0.859, 0.141, 0.245], [0.859, 0.717, 0.245], [0.333, 0.667, 0.449], [0.667, 0.333, 0.949]],
  "sg": "P6_3mc",
  "final_energy_ev_per_cell": -59.460
}



{
  "formula": "ScOsPb",
  "functional": "PBE-GGA",
  "state": "optimized geometry",
  "lattice_angstrom": [[0.000, 3.237, 3.237], [3.237, 0.000, 3.237], [3.237, 3.237, 0.000]],
  "species": ["Sc", "Os", "Pb"],
  "frac_coords": [[0.000, 0.000, 0.000], [0.750, 0.750, 0.750], [0.250, 0.250, 0.250]],
  "sg": "F-43m",
  "final_energy_ev_per_cell": -19.423
}



{
  "formula": "Cu2SiPd6",
  "functional": "PBE-GGA",
  "state": "optimized geometry",
  "lattice_angstrom": [[7.884, 0.000, 0.000], [0.000, 7.884, 0.000], [0.000, 0.000, 4.122]],
  "species": ["Cu", "Cu", "Cu", "Cu", "Si", "Si", "Pd", "Pd", "Pd", "Pd", "Pd", "Pd", "Pd", "Pd", "Pd", "Pd", "Pd", "Pd"],
  "frac_coords": [[0.201, 0.201, 0.000], [0.299, 0.701, 0.500], [0.701, 0.299, 0.500], [0.799, 0.799, 0.000], [0.000, 0.000, 0.500], [0.500, 0.500, 0.000], [0.027, 0.317, 0.500], [0.125, 0.875, 0.000], [0.183, 0.527, 0.000], [0.317, 0.027, 0.500], [0.375, 0.375, 0.500], [0.473, 0.817, 0.000], [0.527, 0.183, 0.000], [0.625, 0.625, 0.500], [0.683, 0.973, 0.500], [0.817, 0.473, 0.000], [0.875, 0.125, 0.000], [0.973, 0.683, 0.500]],
  "sg": "P4_2/mnm",
  "final_energy_ev_per_cell": -93.927
}



{
  "formula": "Co5Re",
  "functional": "PBE-GGA",
  "state": "optimized geometry",
  "lattice_angstrom": [[4.611, 0.000, 0.000], [-2.305, 3.993, 0.000], [0.000, 0.000, 14.983]],
  "species": ["Co", "Co", "Co", "Co", "Co", "Co", "Co", "Co", "Co", "Co", "Co", "Co", "Co", "Co", "Co", "Co", "Co", "Co", "Co", "Co", "Re", "Re", "Re", "Re"],
  "frac_coords": [[0.000, 0.500, 0.000], [0.000, 0.500, 0.500], [0.161, 0.323, 0.250], [0.161, 0.839, 0.250], [0.323, 0.161, 0.750], [0.333, 0.667, 0.127], [0.333, 0.667, 0.373], [0.333, 0.667, 0.656], [0.333, 0.667, 0.844], [0.500, 0.000, 0.000], [0.500, 0.000, 0.500], [0.500, 0.500, 0.000], [0.500, 0.500, 0.500], [0.667, 0.333, 0.156], [0.667, 0.333, 0.344], [0.667, 0.333, 0.627], [0.667, 0.333, 0.873], [0.677, 0.839, 0.250], [0.839, 0.161, 0.750], [0.839, 0.677, 0.750], [0.000, 0.000, 0.087], [0.000, 0.000, 0.413], [0.000, 0.000, 0.587], [0.000, 0.000, 0.913]],
  "sg": "P6_3/mmc",
  "polymorph_energy_mev_per_atom": 0
}